a) ## NdCd3Au (PBE)

Data for NdCd3Au after structural relaxation.

Lattice parameters (Å, degrees): 9.297 4.566 11.520 90.00 90.00 90.00
Positions (direct):
Nd 0.197 0.250 0.005
Nd 0.303 0.750 0.505
Nd 0.697 0.250 0.495
Nd 0.803 0.750 0.995
Cd 0.067 0.250 0.394
Cd 0.084 0.750 0.197
Cd 0.137 0.750 0.803
Cd 0.363 0.250 0.303
Cd 0.416 0.250 0.697
Cd 0.433 0.750 0.894
Cd 0.567 0.250 0.106
Cd 0.584 0.750 0.303
Cd 0.637 0.750 0.697
Cd 0.863 0.250 0.197
Cd 0.916 0.250 0.803
Cd 0.933 0.750 0.606
Au 0.131 0.250 0.632
Au 0.369 0.750 0.132
Au 0.631 0.250 0.868
Au 0.869 0.750 0.368



b) ## NdCd3Au (PBE)

Data for NdCd3Au after structural relaxation.

Lattice parameters (Å, degrees): 5.613 6.018 7.574 90.00 109.93 90.00
Positions (direct):
Nd 0.233 0.250 0.133
Nd 0.767 0.750 0.867
Cd 0.197 0.010 0.695
Cd 0.197 0.490 0.695
Cd 0.343 0.750 0.413
Cd 0.657 0.250 0.587
Cd 0.803 0.510 0.305
Cd 0.803 0.990 0.305
Au 0.338 0.750 0.042
Au 0.662 0.250 0.958



Tell me which of them is the least stable. Sure, it is a).



a) ## Nd4CdAu (PBE)

Data for Nd4CdAu after structural relaxation.

Lattice parameters (Å, degrees): 6.333 9.444 6.237 90.00 104.82 90.00
Positions (direct):
Nd 0.093 0.166 0.106
Nd 0.093 0.334 0.606
Nd 0.395 0.656 0.924
Nd 0.395 0.844 0.424
Nd 0.605 0.156 0.576
Nd 0.605 0.344 0.076
Nd 0.907 0.666 0.394
Nd 0.907 0.834 0.894
Cd 0.500 0.000 0.000
Cd 0.500 0.500 0.500
Au 0.000 0.000 0.500
Au 0.000 0.500 0.000



b) ## Nd4CdAu (PBE)

Data for Nd4CdAu after structural relaxation.

Lattice parameters (Å, degrees): 10.128 10.128 10.128 60.00 60.00 60.00
Positions (direct):
Nd 0.183 0.183 0.817
Nd 0.183 0.817 0.183
Nd 0.183 0.817 0.817
Nd 0.395 0.395 0.395
Nd 0.395 0.395 0.816
Nd 0.395 0.816 0.395
Nd 0.555 0.555 0.945
Nd 0.555 0.945 0.555
Nd 0.555 0.945 0.945
Nd 0.816 0.395 0.395
Nd 0.817 0.183 0.183
Nd 0.817 0.183 0.817
Nd 0.817 0.817 0.183
Nd 0.945 0.555 0.555
Nd 0.945 0.555 0.945
Nd 0.945 0.945 0.555
Cd 0.169 0.169 0.169
Cd 0.169 0.169 0.492
Cd 0.169 0.492 0.169
Cd 0.492 0.169 0.169
Au 0.183 0.606 0.606
Au 0.606 0.183 0.606
Au 0.606 0.606 0.183
Au 0.606 0.606 0.606



Tell me which of them is the least stable. Sure, it is a).



a) ## Nd2CdAu3 (PBE)

Data for Nd2CdAu3 after structural relaxation.

Lattice parameters (Å, degrees): 9.689 9.689 9.689 155.88 155.44 34.69
Positions (direct):
Nd 0.000 0.000 0.000
Nd 0.726 0.226 0.500
Cd 0.401 0.401 0.000
Au 0.153 0.653 0.500
Au 0.302 0.802 0.500
Au 0.555 0.555 0.000



b) ## Nd2CdAu3 (PBE)

Data for Nd2CdAu3 after structural relaxation.

Lattice parameters (Å, degrees): 9.654 9.068 6.002 76.69 66.08 37.23
Positions (direct):
Nd 0.245 0.755 0.755
Nd 0.250 0.250 0.250
Nd 0.750 0.750 0.750
Nd 0.755 0.245 0.245
Cd 0.333 0.333 0.667
Cd 0.667 0.667 0.333
Au 0.167 0.167 0.833
Au 0.169 0.664 0.336
Au 0.336 0.831 0.169
Au 0.664 0.169 0.831
Au 0.831 0.336 0.664
Au 0.833 0.833 0.167



Tell me which of them is the least stable. Sure, it is a).